No. 1
## Sc2MnCuH (GGA-PBE)

Data for a geometry-optimized Sc2MnCuH structure.

- total energy (eV per atom) = -6.030

Cell lengths 4.502, 4.502, 3.408 Å; angles 90.00, 90.00, 90.00 degrees
Space group P4/mmm (No. 123)
Symmetry-distinct sites (fractional):
Sc: 0.000 0.500 0.000 x2
Mn: 0.000 0.000 0.500 x1
Cu: 0.500 0.500 0.500 x1
H: 0.000 0.000 0.000 x1

---

No. 2
## Mn2CuSiH (GGA-PBE)

Data for a geometry-optimized Mn2CuSiH structure.

- total energy (eV per atom) = -6.338

Cell lengths 3.687, 3.687, 3.705 Å; angles 90.00, 90.00, 90.00 degrees
Space group P4/mmm (No. 123)
Symmetry-distinct sites (fractional):
Mn: 0.000 0.500 0.000 x2
Cu: 0.000 0.000 0.500 x1
Si: 0.500 0.500 0.500 x1
H: 0.000 0.000 0.000 x1

---

No. 3
## Mn2CuSnH (GGA-PBE)

Data for a geometry-optimized Mn2CuSnH structure.

- total energy (eV per atom) = -5.925

Cell lengths 3.863, 3.863, 4.017 Å; angles 90.00, 90.00, 90.00 degrees
Space group P4/mmm (No. 123)
Symmetry-distinct sites (fractional):
Mn: 0.000 0.500 0.000 x2
Cu: 0.000 0.000 0.500 x1
Sn: 0.500 0.500 0.500 x1
H: 0.000 0.000 0.000 x1

---

No. 4
## TaMn2CuH (GGA-PBE)

Data for a geometry-optimized TaMn2CuH structure.

- total energy (eV per atom) = -7.467

Cell lengths 3.765, 3.765, 3.890 Å; angles 90.00, 90.00, 90.00 degrees
Space group P4/mmm (No. 123)
Symmetry-distinct sites (fractional):
Ta: 0.000 0.000 0.000 x1
Mn: 0.000 0.500 0.500 x2
Cu: 0.500 0.500 0.000 x1
H: 0.000 0.000 0.500 x1

---

No. 5
## Ta2MnCuH (GGA-PBE)

Data for a geometry-optimized Ta2MnCuH structure.

- total energy (eV per atom) = -8.030

Cell lengths 4.196, 4.196, 3.507 Å; angles 90.00, 90.00, 90.00 degrees
Space group P4/mmm (No. 123)
Symmetry-distinct sites (fractional):
Ta: 0.000 0.500 0.000 x2
Mn: 0.000 0.000 0.500 x1
Cu: 0.500 0.500 0.500 x1
H: 0.000 0.000 0.000 x1

---

No. 6
## TaMn2CuH (GGA-PBE)

Data for a geometry-optimized TaMn2CuH structure.

- total energy (eV per atom) = -7.487

Cell lengths 3.928, 3.928, 3.539 Å; angles 90.00, 90.00, 90.00 degrees
Space group P4/mmm (No. 123)
Symmetry-distinct sites (fractional):
Ta: 0.000 0.000 0.000 x1
Mn: 0.000 0.500 0.500 x2
Cu: 0.500 0.500 0.000 x1
H: 0.500 0.500 0.500 x1